1.
First-principles (PBE) data for crystalline GaNiBiPS at its relaxed geometry, as listed in the Alexandria database. Values from VASP.

Geometry as Quantum ESPRESSO input:
```
&SYSTEM
  ibrav = 0, nat = 10, ntyp = 5
/
ATOMIC_SPECIES
Ga 69.72 Ga.upf
P 30.97 P.upf
S 32.06 S.upf
Bi 208.98 Bi.upf
Ni 58.69 Ni.upf
CELL_PARAMETERS angstrom
-1.2066 -0.6041 -5.6214
-3.3725 -1.4903 0.8840
-3.8042 9.3224 1.2029
ATOMIC_POSITIONS angstrom
Ga -3.7076 7.8682 -0.8799
Ga -3.4917 2.4619 -1.0394
P -3.1884 -0.0842 -4.1743
S -4.3115 7.2869 -4.1636
S -4.0956 1.8806 -4.3231
Bi -2.4762 -0.1476 -1.5643
Ni -4.5219 3.6391 -2.9848
Bi -2.6921 5.2587 -1.4049
P -3.4043 5.3222 -4.0149
Ni -0.9335 -0.2770 -4.0282
```

Values from the calculation:
Density of states at the Fermi level, states/eV/cell: 4.257
Total magnetization, μB/f.u.: 0.0
Raw formation energy, eV/atom: -0.057
Space-group type: Cm, No. 8
Polymorph energy (0 for the lowest one), eV/atom: 0.2691
Calculated density, g/cm³: 6.037

---

2.
First-principles (PBE) data for crystalline GaNiBiPS at its relaxed geometry, as listed in the Alexandria database. Values from VASP.

Geometry as Quantum ESPRESSO input:
```
&SYSTEM
  ibrav = 0, nat = 5, ntyp = 5
/
ATOMIC_SPECIES
P 30.97 P.upf
Bi 208.98 Bi.upf
Ga 69.72 Ga.upf
S 32.06 S.upf
Ni 58.69 Ni.upf
CELL_PARAMETERS angstrom
3.4428 0.0097 -0.0048
-1.6953 5.3681 0.0020
-1.7290 -1.8399 5.4095
ATOMIC_POSITIONS angstrom
P 0.8814 0.2638 2.1410
Bi 0.8699 -0.0751 4.9463
Ga 0.8911 2.7457 2.5357
S -0.8247 2.6684 4.3005
Ni 0.9079 4.7400 1.1749
```

Values from the calculation:
Density of states at the Fermi level, states/eV/cell: 2.293
Total magnetization, μB/f.u.: 0.0
Raw formation energy, eV/atom: -0.161
Space-group type: P1, No. 1
Polymorph energy (0 for the lowest one), eV/atom: 0.1656
Calculated density, g/cm³: 6.648

---

3.
First-principles (PBE) data for crystalline GaNiBiPS at its relaxed geometry, as listed in the Alexandria database. Values from VASP.

Geometry as Quantum ESPRESSO input:
```
&SYSTEM
  ibrav = 0, nat = 5, ntyp = 5
/
ATOMIC_SPECIES
Ni 58.69 Ni.upf
P 30.97 P.upf
S 32.06 S.upf
Ga 69.72 Ga.upf
Bi 208.98 Bi.upf
CELL_PARAMETERS angstrom
-0.2729 1.3330 4.9413
-0.5046 -3.3429 0.8739
6.0630 -1.3968 -1.8422
ATOMIC_POSITIONS angstrom
Ni 4.3134 0.0984 2.8669
P 3.9502 -1.8810 2.0619
S 0.3996 0.1954 0.9782
Ga -0.0137 -1.0667 2.8882
Bi 2.6283 -2.3302 -0.4196
```

Values from the calculation:
Density of states at the Fermi level, states/eV/cell: 2.475
Total magnetization, μB/f.u.: 0.0
Raw formation energy, eV/atom: -0.179
Space-group type: Pm, No. 6
Polymorph energy (0 for the lowest one), eV/atom: 0.1469
Calculated density, g/cm³: 6.189

---

4.
First-principles (PBE) data for crystalline GaNiBiPS at its relaxed geometry, as listed in the Alexandria database. Values from VASP.

Geometry as Quantum ESPRESSO input:
```
&SYSTEM
  ibrav = 0, nat = 5, ntyp = 5
/
ATOMIC_SPECIES
S 32.06 S.upf
Ni 58.69 Ni.upf
Ga 69.72 Ga.upf
Bi 208.98 Bi.upf
P 30.97 P.upf
CELL_PARAMETERS angstrom
4.0976 0.0000 0.0000
-1.4062 5.1764 0.0000
-0.5940 -2.1354 5.1708
ATOMIC_POSITIONS angstrom
S 0.4432 1.6001 5.0697
Ni 1.8698 0.5339 0.7184
Ga -0.7801 -0.6466 5.0627
Bi 1.2097 -1.0137 2.7952
P 1.7728 2.5295 1.5597
```

Values from the calculation:
Density of states at the Fermi level, states/eV/cell: 0.932
Total magnetization, μB/f.u.: 0.0
Raw formation energy, eV/atom: -0.064
Space-group type: P1, No. 1
Polymorph energy (0 for the lowest one), eV/atom: 0.2620
Calculated density, g/cm³: 6.063

---

5.
First-principles (PBE) data for crystalline GaNiBiPS at its relaxed geometry, as listed in the Alexandria database. Values from VASP.

Geometry as Quantum ESPRESSO input:
```
&SYSTEM
  ibrav = 0, nat = 5, ntyp = 5
/
ATOMIC_SPECIES
S 32.06 S.upf
Bi 208.98 Bi.upf
Ga 69.72 Ga.upf
Ni 58.69 Ni.upf
P 30.97 P.upf
CELL_PARAMETERS angstrom
3.8040 -0.0127 0.0047
0.0919 5.2633 0.0118
1.5913 0.6044 5.3188
ATOMIC_POSITIONS angstrom
S 0.9050 0.4280 0.4006
Bi 3.4493 2.7801 2.6360
Ga 1.6256 5.4270 2.7547
Ni 3.5479 4.8720 4.2201
P 3.8228 3.8271 0.0236
```

Values from the calculation:
Density of states at the Fermi level, states/eV/cell: 1.391
Total magnetization, μB/f.u.: 0.0
Raw formation energy, eV/atom: -0.089
Space-group type: P1, No. 1
Polymorph energy (0 for the lowest one), eV/atom: 0.2367
Calculated density, g/cm³: 6.248

---

6.
First-principles (PBE) data for crystalline GaNiBiPS at its relaxed geometry, as listed in the Alexandria database. Values from VASP.

Geometry as Quantum ESPRESSO input:
```
&SYSTEM
  ibrav = 0, nat = 5, ntyp = 5
/
ATOMIC_SPECIES
P 30.97 P.upf
Ni 58.69 Ni.upf
Bi 208.98 Bi.upf
S 32.06 S.upf
Ga 69.72 Ga.upf
CELL_PARAMETERS angstrom
-2.0354 1.0751 -3.0222
2.2734 -3.0355 -0.2232
-6.1195 -4.7618 2.4275
ATOMIC_POSITIONS angstrom
P -0.3167 -0.2464 0.1256
Ni -1.1465 -0.7210 -1.8721
Bi -1.0188 -3.1095 -0.4200
S -3.9448 -3.0696 1.5649
Ga -5.4237 -4.0492 -0.1754
```

Values from the calculation:
Density of states at the Fermi level, states/eV/cell: 1.954
Total magnetization, μB/f.u.: 0.0
Raw formation energy, eV/atom: -0.278
Space-group type: P3m1, No. 156
Polymorph energy (0 for the lowest one), eV/atom: 0.0483
Calculated density, g/cm³: 6.548

---

7.
First-principles (PBE) data for crystalline GaNiBiPS at its relaxed geometry, as listed in the Alexandria database. Values from VASP.

Geometry as Quantum ESPRESSO input:
```
&SYSTEM
  ibrav = 0, nat = 5, ntyp = 5
/
ATOMIC_SPECIES
P 30.97 P.upf
Bi 208.98 Bi.upf
S 32.06 S.upf
Ga 69.72 Ga.upf
Ni 58.69 Ni.upf
CELL_PARAMETERS angstrom
-0.6902 -0.8257 -3.5399
2.1199 -2.2474 2.0442
-8.0607 -2.6305 2.1883
ATOMIC_POSITIONS angstrom
P -5.9289 -4.7144 3.2916
Bi -5.8323 -2.5285 -1.1031
S -1.8642 -1.0624 -0.2854
Ga -2.6446 -3.0073 -1.6129
Ni -6.3035 -3.8844 1.2372
```

Values from the calculation:
Density of states at the Fermi level, states/eV/cell: 1.480
Total magnetization, μB/f.u.: 0.0
Raw formation energy, eV/atom: -0.198
Space-group type: Cm, No. 8
Polymorph energy (0 for the lowest one), eV/atom: 0.1285
Calculated density, g/cm³: 6.585

---

8.
First-principles (PBE) data for crystalline GaNiBiPS at its relaxed geometry, as listed in the Alexandria database. Values from VASP.

Geometry as Quantum ESPRESSO input:
```
&SYSTEM
  ibrav = 0, nat = 10, ntyp = 5
/
ATOMIC_SPECIES
Ni 58.69 Ni.upf
P 30.97 P.upf
Bi 208.98 Bi.upf
S 32.06 S.upf
Ga 69.72 Ga.upf
CELL_PARAMETERS angstrom
-4.9619 -0.0428 -1.3976
-0.7244 -2.1911 2.6390
1.4562 8.5000 7.4573
ATOMIC_POSITIONS angstrom
Ni -2.2250 6.8942 7.4421
P -2.5152 0.3297 -0.4166
Bi 0.8694 5.8866 5.1263
Ni -2.5909 3.7398 2.3940
S -1.8727 6.9273 5.2377
P -2.1493 3.4841 4.6315
S -2.9630 1.5818 2.8286
Ga -0.0733 3.7621 3.1036
Ga 0.2926 6.9165 8.1517
Bi -0.2210 0.5410 2.7171
```

Values from the calculation:
Density of states at the Fermi level, states/eV/cell: 3.467
Total magnetization, μB/f.u.: 0.0
Raw formation energy, eV/atom: -0.075
Space-group type: Cm, No. 8
Polymorph energy (0 for the lowest one), eV/atom: 0.2513
Calculated density, g/cm³: 6.781

---

9.
First-principles (PBE) data for crystalline GaNiBiPS at its relaxed geometry, as listed in the Alexandria database. Values from VASP.

Geometry as Quantum ESPRESSO input:
```
&SYSTEM
  ibrav = 0, nat = 10, ntyp = 5
/
ATOMIC_SPECIES
Ni 58.69 Ni.upf
Bi 208.98 Bi.upf
P 30.97 P.upf
Ga 69.72 Ga.upf
S 32.06 S.upf
CELL_PARAMETERS angstrom
6.7988 0.0000 -0.0275
0.0000 3.4117 0.0000
-4.9862 0.0000 9.1846
ATOMIC_POSITIONS angstrom
Ni -3.3282 0.0000 8.4735
Bi 0.8070 1.7058 6.3170
P -2.2673 0.0000 4.1907
Ga 3.5891 1.7058 5.7061
P -4.7603 1.7058 8.7830
S 0.4610 0.0000 3.1953
S -2.0321 1.7058 7.7876
Ga 6.0822 0.0000 1.1138
Bi 3.3001 0.0000 1.7247
Ni -0.8352 1.7058 3.8811
```

Values from the calculation:
Density of states at the Fermi level, states/eV/cell: 3.929
Total magnetization, μB/f.u.: 0.0
Raw formation energy, eV/atom: -0.156
Space-group type: Cm, No. 8
Polymorph energy (0 for the lowest one), eV/atom: 0.1704
Calculated density, g/cm³: 6.256

---

10.
First-principles (PBE) data for crystalline GaNiBiPS at its relaxed geometry, as listed in the Alexandria database. Values from VASP.

Geometry as Quantum ESPRESSO input:
```
&SYSTEM
  ibrav = 0, nat = 5, ntyp = 5
/
ATOMIC_SPECIES
Bi 208.98 Bi.upf
Ga 69.72 Ga.upf
S 32.06 S.upf
P 30.97 P.upf
Ni 58.69 Ni.upf
CELL_PARAMETERS angstrom
3.4299 -0.0017 0.0052
0.0091 4.6553 -0.0211
1.6711 2.0827 6.8976
ATOMIC_POSITIONS angstrom
Bi 2.4377 3.3817 3.1597
Ga 2.4837 2.4607 0.3091
S 0.7684 0.6999 0.2877
P 2.4531 5.8148 4.6837
Ni 4.1583 1.8605 5.9048
```

Values from the calculation:
Density of states at the Fermi level, states/eV/cell: 1.853
Total magnetization, μB/f.u.: 0.0
Raw formation energy, eV/atom: -0.119
Space-group type: P1, No. 1
Polymorph energy (0 for the lowest one), eV/atom: 0.2075
Calculated density, g/cm³: 6.031

---

11.
First-principles (PBE) data for crystalline GaNiBiPS at its relaxed geometry, as listed in the Alexandria database. Values from VASP.

Geometry as Quantum ESPRESSO input:
```
&SYSTEM
  ibrav = 0, nat = 15, ntyp = 5
/
ATOMIC_SPECIES
S 32.06 S.upf
Ni 58.69 Ni.upf
Ga 69.72 Ga.upf
P 30.97 P.upf
Bi 208.98 Bi.upf
CELL_PARAMETERS angstrom
-0.4621 3.8027 -0.3260
-0.6828 -1.7383 3.3604
22.9588 3.3380 6.3915
ATOMIC_POSITIONS angstrom
S 1.2784 0.3832 2.6571
Ni 14.4261 4.1310 5.0680
Ni 22.0055 3.3967 8.4273
Ga 10.1069 3.5030 3.8656
P 14.8551 2.1598 4.1355
Ga 2.9897 0.4347 0.8323
S 9.5406 1.3871 2.6560
Bi 20.7119 3.0113 5.7660
P 6.5930 1.1558 4.1366
Bi 12.4497 2.0074 5.7671
Ni 7.3089 1.0626 2.0347
Bi 4.8703 2.7417 2.4078
Ga 17.6863 2.7687 7.2249
S 16.6578 4.4555 5.6893
P 21.9724 5.2282 7.1688
```

Values from the calculation:
Density of states at the Fermi level, states/eV/cell: 6.929
Total magnetization, μB/f.u.: 0.0
Raw formation energy, eV/atom: -0.152
Space-group type: R3m, No. 160
Polymorph energy (0 for the lowest one), eV/atom: 0.1739
Calculated density, g/cm³: 6.476